(1)
Computed, not measured: a geometry-optimized LiSc2Cr structure at the PBE-GGA level of DFT. Values from VASP.

The structure in Quantum ESPRESSO input format:
```
&SYSTEM
  ibrav = 0, nat = 4, ntyp = 3
/
ATOMIC_SPECIES
Li 6.94 Li.upf
Sc 44.96 Sc.upf
Cr 52.00 Cr.upf
ATOMIC_POSITIONS angstrom
Li 0.000 0.000 0.000
Sc 0.000 0.000 7.000
Sc 0.000 0.000 22.320
Cr 0.000 0.000 14.660
CELL_PARAMETERS angstrom
1.553 0.897 9.773
-1.553 0.897 9.773
0.000 -1.794 9.773
```

Results
The formation energy is 1.325 eV per formula unit.

***

(2)
Computed, not measured: a geometry-optimized Li2ScCr structure at the PBE-GGA level of DFT. Values from VASP.

The structure in Quantum ESPRESSO input format:
```
&SYSTEM
  ibrav = 0, nat = 4, ntyp = 3
/
ATOMIC_SPECIES
Li 6.94 Li.upf
Sc 44.96 Sc.upf
Cr 52.00 Cr.upf
ATOMIC_POSITIONS angstrom
Li 0.000 0.000 7.355
Li 0.000 0.000 22.745
Sc 0.000 0.000 0.000
Cr 0.000 0.000 15.050
CELL_PARAMETERS angstrom
1.512 0.873 10.033
-1.512 0.873 10.033
0.000 -1.745 10.033
```

Results
The formation energy is 1.935 eV per formula unit. Its energy above the most stable polymorph in this dataset is 17.3 kJ/mol of atoms.

***

(3)
Computed, not measured: a geometry-optimized LiSc2Cr structure at the PBE-GGA level of DFT. Values from VASP.

The structure in Quantum ESPRESSO input format:
```
&SYSTEM
  ibrav = 0, nat = 4, ntyp = 3
/
ATOMIC_SPECIES
Li 6.94 Li.upf
Sc 44.96 Sc.upf
Cr 52.00 Cr.upf
ATOMIC_POSITIONS angstrom
Li 0.000 0.000 0.000
Sc 2.029 0.000 2.414
Sc 0.000 0.000 4.828
Cr 0.000 2.029 2.414
CELL_PARAMETERS angstrom
-2.029 2.029 4.828
2.029 -2.029 4.828
2.029 2.029 -4.828
```

Results
The formation energy is 1.342 eV per formula unit.

***

(4)
Computed, not measured: a geometry-optimized Li2ScCr structure at the PBE-GGA level of DFT. Values from VASP.

The structure in Quantum ESPRESSO input format:
```
&SYSTEM
  ibrav = 0, nat = 4, ntyp = 3
/
ATOMIC_SPECIES
Li 6.94 Li.upf
Sc 44.96 Sc.upf
Cr 52.00 Cr.upf
ATOMIC_POSITIONS angstrom
Li 0.000 0.000 0.000
Li 0.000 2.351 1.656
Sc 2.351 0.000 1.656
Cr 0.000 0.000 3.311
CELL_PARAMETERS angstrom
-2.351 2.351 3.311
2.351 -2.351 3.311
2.351 2.351 -3.311
```

Results
The formation energy is 1.535 eV per formula unit. Its energy above the most stable polymorph in this dataset is 7.7 kJ/mol of atoms.

***

(5)
Computed, not measured: a geometry-optimized Li2ScCr structure at the PBE-GGA level of DFT. Values from VASP.

The structure in Quantum ESPRESSO input format:
```
&SYSTEM
  ibrav = 0, nat = 4, ntyp = 3
/
ATOMIC_SPECIES
Li 6.94 Li.upf
Sc 44.96 Sc.upf
Cr 52.00 Cr.upf
ATOMIC_POSITIONS angstrom
Li 0.000 0.000 0.000
Li 1.771 0.000 2.521
Sc 0.000 0.000 5.270
Cr 1.771 0.000 7.280
CELL_PARAMETERS angstrom
1.771 -2.107 0.000
1.771 2.107 0.000
0.000 0.000 9.404
```

Results
The formation energy is 1.560 eV per formula unit. Its energy above the most stable polymorph in this dataset is 8.2 kJ/mol of atoms.

***

(6)
Computed, not measured: a geometry-optimized LiSc4Cr structure at the PBE-GGA level of DFT. Values from VASP.

The structure in Quantum ESPRESSO input format:
```
&SYSTEM
  ibrav = 0, nat = 6, ntyp = 3
/
ATOMIC_SPECIES
Li 6.94 Li.upf
Sc 44.96 Sc.upf
Cr 52.00 Cr.upf
ATOMIC_POSITIONS angstrom
Li 0.000 0.000 0.000
Sc 5.180 3.127 3.127
Sc 3.127 5.180 3.127
Sc 3.127 3.127 5.180
Sc 5.180 5.180 5.180
Cr 2.077 2.077 2.077
CELL_PARAMETERS angstrom
0.000 4.154 4.154
4.154 0.000 4.154
4.154 4.154 0.000
```

Results
The formation energy is 3.482 eV per formula unit.

***

(7)
Computed, not measured: a geometry-optimized Li2ScCr structure at the PBE-GGA level of DFT. Values from VASP.

The structure in Quantum ESPRESSO input format:
```
&SYSTEM
  ibrav = 0, nat = 4, ntyp = 3
/
ATOMIC_SPECIES
Li 6.94 Li.upf
Sc 44.96 Sc.upf
Cr 52.00 Cr.upf
ATOMIC_POSITIONS angstrom
Li 0.000 0.000 0.000
Li 1.359 1.359 2.506
Sc 0.000 0.000 5.233
Cr 1.359 1.359 7.275
CELL_PARAMETERS angstrom
2.718 0.000 0.000
0.000 2.718 0.000
0.000 0.000 9.408
```

Results
The formation energy is 1.572 eV per formula unit. Its energy above the most stable polymorph in this dataset is 8.5 kJ/mol of atoms.

***

(8)
Computed, not measured: a geometry-optimized Li2ScCr structure at the PBE-GGA level of DFT. Values from VASP.

The structure in Quantum ESPRESSO input format:
```
&SYSTEM
  ibrav = 0, nat = 4, ntyp = 3
/
ATOMIC_SPECIES
Li 6.94 Li.upf
Sc 44.96 Sc.upf
Cr 52.00 Cr.upf
ATOMIC_POSITIONS angstrom
Li 0.000 0.000 2.313
Li 0.000 0.000 7.576
Sc 0.000 2.291 0.000
Cr 1.635 0.000 0.000
CELL_PARAMETERS angstrom
-1.635 2.291 4.945
1.635 -2.291 4.945
1.635 2.291 -4.945
```

Results
The formation energy is 1.341 eV per formula unit. Its energy above the most stable polymorph in this dataset is 3.0 kJ/mol of atoms.

***

(9)
Computed, not measured: a geometry-optimized LiSc2Cr structure at the PBE-GGA level of DFT. Values from VASP.

The structure in Quantum ESPRESSO input format:
```
&SYSTEM
  ibrav = 0, nat = 4, ntyp = 3
/
ATOMIC_SPECIES
Li 6.94 Li.upf
Sc 44.96 Sc.upf
Cr 52.00 Cr.upf
ATOMIC_POSITIONS angstrom
Li 0.000 0.000 0.000
Sc 1.612 1.612 2.270
Sc 1.612 1.612 5.490
Cr 0.000 0.000 3.880
CELL_PARAMETERS angstrom
3.223 0.000 0.000
0.000 3.223 0.000
0.000 0.000 7.761
```

Results
The formation energy is 0.623 eV per formula unit.

***

(10)
Computed, not measured: a geometry-optimized LiSc2Cr structure at the PBE-GGA level of DFT. Values from VASP.

The structure in Quantum ESPRESSO input format:
```
&SYSTEM
  ibrav = 0, nat = 4, ntyp = 3
/
ATOMIC_SPECIES
Li 6.94 Li.upf
Sc 44.96 Sc.upf
Cr 52.00 Cr.upf
ATOMIC_POSITIONS angstrom
Li 0.000 0.000 0.000
Sc 0.000 2.400 1.666
Sc 2.400 0.000 1.666
Cr 2.400 2.400 0.000
CELL_PARAMETERS angstrom
4.801 0.000 0.000
0.000 4.801 0.000
0.000 0.000 3.332
```

Results
The formation energy is 0.859 eV per formula unit.

***

(11)
Computed, not measured: a geometry-optimized LiSc2Cr structure at the PBE-GGA level of DFT. Values from VASP.

The structure in Quantum ESPRESSO input format:
```
&SYSTEM
  ibrav = 0, nat = 4, ntyp = 3
/
ATOMIC_SPECIES
Li 6.94 Li.upf
Sc 44.96 Sc.upf
Cr 52.00 Cr.upf
ATOMIC_POSITIONS angstrom
Li 0.000 0.000 0.000
Sc 1.543 0.000 4.008
Sc 6.840 0.000 1.467
Cr 4.191 0.000 2.738
CELL_PARAMETERS angstrom
4.721 -1.585 0.000
4.721 1.585 0.000
-1.059 0.000 5.475
```

Results
The formation energy is 1.438 eV per formula unit.

***

(12)
Computed, not measured: a geometry-optimized Li2ScCr structure at the PBE-GGA level of DFT. Values from VASP.

The structure in Quantum ESPRESSO input format:
```
&SYSTEM
  ibrav = 0, nat = 4, ntyp = 3
/
ATOMIC_SPECIES
Li 6.94 Li.upf
Sc 44.96 Sc.upf
Cr 52.00 Cr.upf
ATOMIC_POSITIONS angstrom
Li 0.000 0.000 2.153
Li 0.000 0.000 7.436
Sc 1.323 1.323 4.794
Cr 1.323 1.323 0.000
CELL_PARAMETERS angstrom
2.646 0.000 0.000
0.000 2.646 0.000
0.000 0.000 9.589
```

Results
The formation energy is 2.463 eV per formula unit. Its energy above the most stable polymorph in this dataset is 30.0 kJ/mol of atoms.

***

(13)
Computed, not measured: a geometry-optimized LiSc2Cr structure at the PBE-GGA level of DFT. Values from VASP.

The structure in Quantum ESPRESSO input format:
```
&SYSTEM
  ibrav = 0, nat = 4, ntyp = 3
/
ATOMIC_SPECIES
Li 6.94 Li.upf
Sc 44.96 Sc.upf
Cr 52.00 Cr.upf
ATOMIC_POSITIONS angstrom
Li 0.000 0.000 0.000
Sc 4.746 0.000 2.469
Sc 7.578 0.000 0.890
Cr 1.786 0.000 3.204
CELL_PARAMETERS angstrom
5.218 -1.626 0.000
5.218 1.626 0.000
-1.656 0.000 4.589
```

Results
The formation energy is 1.013 eV per formula unit.

***

(14)
Computed, not measured: a geometry-optimized LiSc2Cr structure at the PBE-GGA level of DFT. Values from VASP.

The structure in Quantum ESPRESSO input format:
```
&SYSTEM
  ibrav = 0, nat = 4, ntyp = 3
/
ATOMIC_SPECIES
Li 6.94 Li.upf
Sc 44.96 Sc.upf
Cr 52.00 Cr.upf
ATOMIC_POSITIONS angstrom
Li 0.000 0.000 0.000
Sc 1.482 0.000 2.562
Sc 2.505 1.585 0.000
Cr -1.023 1.585 2.562
CELL_PARAMETERS angstrom
5.010 0.000 0.000
0.000 3.170 0.000
-2.047 0.000 5.123
```

Results
The formation energy is 1.511 eV per formula unit.

***

(15)
Computed, not measured: a geometry-optimized LiSc2Cr structure at the PBE-GGA level of DFT. Values from VASP.

The structure in Quantum ESPRESSO input format:
```
&SYSTEM
  ibrav = 0, nat = 4, ntyp = 3
/
ATOMIC_SPECIES
Li 6.94 Li.upf
Sc 44.96 Sc.upf
Cr 52.00 Cr.upf
ATOMIC_POSITIONS angstrom
Li 0.000 0.000 0.000
Sc 1.702 1.702 1.702
Sc 3.404 3.404 3.404
Cr 5.106 5.106 5.106
CELL_PARAMETERS angstrom
0.000 3.404 3.404
3.404 0.000 3.404
3.404 3.404 0.000
```

Results
The formation energy is 1.517 eV per formula unit.